# 1
Computed, not measured: an optimized crystal structure of La3Y8Ho2 at the PBE-GGA level of DFT.

The structure belongs to space group C2/m (No. 12); the cell edges are 14.798, 9.254 and 7.009 Å and the angles 90.00°, 108.69° and 90.00°. The inequivalent atoms are La at (0.000, 0.000, 0.000), La at (0.000, 0.176, 0.500), Y at (0.087, 0.500, 0.731), Y at (0.120, 0.320, 0.181), Y at (0.194, 0.000, 0.902) and Ho at (0.213, 0.000, 0.425).

The value obtained for the energy above the most stable polymorph in this dataset is 0.0 meV per atom.

=====

# 2
Computed, not measured: an optimized crystal structure of La4Y2Ho3 at the PBE-GGA level of DFT.

The structure belongs to space group C2/m (No. 12); the cell edges are 11.698, 5.899 and 9.129 Å and the angles 90.00°, 102.49° and 90.00°. The inequivalent atoms are La at (0.183, 0.000, 0.031), La at (0.225, 0.500, 0.332), Y at (0.040, 0.000, 0.327), Ho at (0.000, 0.500, 0.000) and Ho at (0.099, 0.500, 0.652).

The value obtained for the energy above the most stable polymorph in this dataset is 69.4 meV per atom.

=====

# 3
Computed, not measured: an optimized crystal structure of La3Y8Ho4 at the PBE-GGA level of DFT.

The structure belongs to space group C2/m (No. 12); the cell edges are 13.520, 12.883 and 6.791 Å and the angles 90.00°, 120.01° and 90.00°. The inequivalent atoms are La at (0.000, 0.000, 0.000), La at (0.250, 0.250, 0.500), Y at (0.000, 0.144, 0.500), Y at (0.000, 0.249, 0.000), Y at (0.232, 0.000, 0.505), Y at (0.243, 0.000, 0.992), Ho at (0.000, 0.500, 0.000), Ho at (0.000, 0.500, 0.500) and Ho at (0.250, 0.250, 0.000).

Its total energy is -5.2617 eV/atom.

=====

# 4
Computed, not measured: an optimized crystal structure of La9Y2Ho at the PBE-GGA level of DFT.

The structure belongs to space group P4/mmm (No. 123); the cell edges are 5.209, 5.209 and 15.627 Å and the angles 90.00°, 90.00° and 90.00°. The inequivalent atoms are La at (0.000, 0.000, 0.000), La at (0.000, 0.000, 0.333), La at (0.000, 0.500, 0.166), La at (0.000, 0.500, 0.500), Y at (0.500, 0.500, 0.333) and Ho at (0.500, 0.500, 0.000).

Its total energy is -5.1480 eV/atom.

=====

# 5
Computed, not measured: an optimized crystal structure of La9YHo4 at the PBE-GGA level of DFT.

The structure belongs to space group P6_3/mmc (No. 194); the cell edges are 10.0308, 10.0308 and 11.5539 Å and the angles 90.00°, 90.00° and 120.00°. The inequivalent atoms are La at (0.0805, 0.5402, 0.2500), La at (0.2066, 0.4132, 0.5282), Y at (0.3333, 0.6667, 0.7500), Ho at (0.0000, 0.0000, 0.0000) and Ho at (0.1094, 0.2188, 0.2500).

Its total energy is -4.7884 eV/atom.

=====

# 6
Computed, not measured: an optimized crystal structure of La2YHo at the PBE-GGA level of DFT.

The structure belongs to space group P4/mmm (No. 123); the cell edges are 5.236, 5.236 and 4.998 Å and the angles 90.00°, 90.00° and 90.00°. The inequivalent atoms are La at (0.000, 0.500, 0.000), Y at (0.000, 0.000, 0.500) and Ho at (0.500, 0.500, 0.500).

The value obtained for the energy above the most stable polymorph in this dataset is 12.5 meV per atom.